1:
First-principles (PBE) data for a relaxed Co2ReGe2 crystal, as listed in Alexandria via LeMat-Bulk. Values from VASP.

Geometry as Quantum ESPRESSO input:
```
&SYSTEM
  ibrav = 0, nat = 5, ntyp = 3
/
ATOMIC_SPECIES
Ge 72.64 Ge.upf
Co 58.93 Co.upf
Re 186.21 Re.upf
CELL_PARAMETERS angstrom
-3.360 -0.679 -0.742
-0.627 -0.608 3.397
-3.228 4.672 2.050
ATOMIC_POSITIONS angstrom
Ge -2.275 0.567 1.492
Co -2.924 1.710 3.387
Co -4.291 1.675 1.318
Re 0.000 0.000 0.000
Ge -4.940 2.818 3.213
```

Crystal system: tetragonal



2:
First-principles (PBE) data for a relaxed Co2ReGe2 crystal, as listed in Alexandria via LeMat-Bulk. Values from VASP.

Geometry as Quantum ESPRESSO input:
```
&SYSTEM
  ibrav = 0, nat = 10, ntyp = 3
/
ATOMIC_SPECIES
Ge 72.64 Ge.upf
Co 58.93 Co.upf
Re 186.21 Re.upf
CELL_PARAMETERS angstrom
6.906 0.000 0.000
0.000 6.906 0.000
0.000 0.000 2.680
ATOMIC_POSITIONS angstrom
Ge 5.873 4.486 0.000
Ge 1.033 2.420 0.000
Ge 4.486 1.033 0.000
Co 4.476 5.883 1.340
Ge 2.420 5.873 0.000
Re 0.000 0.000 0.000
Re 3.453 3.453 0.000
Co 5.883 2.430 1.340
Co 1.023 4.476 1.340
Co 2.430 1.023 1.340
```

Crystal system: tetragonal



Order from most stable to least stable according to the calculation: 2, 1



1:
First-principles (PBE) data for a relaxed Co3ReGe crystal, as listed in Alexandria via LeMat-Bulk. Values from VASP.

Geometry as Quantum ESPRESSO input:
```
&SYSTEM
  ibrav = 0, nat = 5, ntyp = 3
/
ATOMIC_SPECIES
Co 58.93 Co.upf
Re 186.21 Re.upf
Ge 72.64 Ge.upf
CELL_PARAMETERS angstrom
4.463 0.000 0.000
0.000 4.463 0.000
0.000 0.000 4.463
ATOMIC_POSITIONS angstrom
Co 0.000 0.000 2.232
Re 0.000 0.000 0.000
Co 2.232 0.000 0.000
Co 0.000 2.232 0.000
Ge 2.232 2.232 2.232
```

Crystal system: cubic



2:
First-principles (PBE) data for a relaxed Co3ReGe crystal, as listed in Alexandria via LeMat-Bulk. Values from VASP.

Geometry as Quantum ESPRESSO input:
```
&SYSTEM
  ibrav = 0, nat = 5, ntyp = 3
/
ATOMIC_SPECIES
Co 58.93 Co.upf
Ge 72.64 Ge.upf
Re 186.21 Re.upf
CELL_PARAMETERS angstrom
4.215 0.000 0.000
0.000 4.215 0.000
0.000 0.000 4.215
ATOMIC_POSITIONS angstrom
Co 2.107 0.000 0.000
Ge 0.000 0.000 0.000
Co 0.000 2.107 0.000
Co 0.000 0.000 2.107
Re 2.107 2.107 2.107
```

Crystal system: cubic



Order from most stable to least stable according to the calculation: 2, 1



1:
First-principles (PBE) data for a relaxed Co3GeRh crystal, as listed in Alexandria via LeMat-Bulk. Values from VASP.

Geometry as Quantum ESPRESSO input:
```
&SYSTEM
  ibrav = 0, nat = 5, ntyp = 3
/
ATOMIC_SPECIES
Co 58.93 Co.upf
Rh 102.91 Rh.upf
Ge 72.64 Ge.upf
CELL_PARAMETERS angstrom
-0.600 -4.207 0.401
1.645 -0.606 -3.892
3.893 -0.393 1.706
ATOMIC_POSITIONS angstrom
Co -0.300 -2.104 0.201
Rh 2.469 -2.603 -0.892
Ge 0.000 0.000 0.000
Co 1.946 -0.196 0.853
Co 0.822 -0.303 -1.946
```

Crystal system: cubic



2:
First-principles (PBE) data for a relaxed Co3GeRh crystal, as listed in Alexandria via LeMat-Bulk. Values from VASP.

Geometry as Quantum ESPRESSO input:
```
&SYSTEM
  ibrav = 0, nat = 5, ntyp = 3
/
ATOMIC_SPECIES
Ge 72.64 Ge.upf
Rh 102.91 Rh.upf
Co 58.93 Co.upf
CELL_PARAMETERS angstrom
4.532 0.000 0.000
0.000 4.532 0.000
0.000 0.000 4.532
ATOMIC_POSITIONS angstrom
Ge 2.266 2.266 2.266
Rh 0.000 0.000 0.000
Co 0.000 0.000 2.266
Co 2.266 0.000 0.000
Co 0.000 2.266 0.000
```

Crystal system: cubic



Order from most stable to least stable according to the calculation: 1, 2



1:
First-principles (PBE) data for a relaxed Co2Ge2Rh crystal, as listed in Alexandria via LeMat-Bulk. Values from VASP.

Geometry as Quantum ESPRESSO input:
```
&SYSTEM
  ibrav = 0, nat = 10, ntyp = 3
/
ATOMIC_SPECIES
Rh 102.91 Rh.upf
Co 58.93 Co.upf
Ge 72.64 Ge.upf
CELL_PARAMETERS angstrom
6.805 0.000 0.000
0.000 6.805 0.000
0.000 0.000 2.767
ATOMIC_POSITIONS angstrom
Rh 3.403 3.403 0.000
Co 2.448 0.954 1.383
Co 0.954 4.357 1.383
Ge 4.465 1.063 0.000
Ge 2.340 5.743 0.000
Ge 1.063 2.340 0.000
Rh 0.000 0.000 0.000
Co 5.851 2.448 1.383
Ge 5.743 4.465 0.000
Co 4.357 5.851 1.383
```

Crystal system: tetragonal



2:
First-principles (PBE) data for a relaxed Co2Ge2Rh crystal, as listed in Alexandria via LeMat-Bulk. Values from VASP.

Geometry as Quantum ESPRESSO input:
```
&SYSTEM
  ibrav = 0, nat = 5, ntyp = 3
/
ATOMIC_SPECIES
Co 58.93 Co.upf
Ge 72.64 Ge.upf
Rh 102.91 Rh.upf
CELL_PARAMETERS angstrom
3.602 0.000 0.000
0.000 3.602 0.000
1.801 1.801 5.301
ATOMIC_POSITIONS angstrom
Co 3.602 1.801 2.650
Ge 3.602 3.602 4.084
Rh 0.000 0.000 0.000
Co 1.801 3.602 2.650
Ge 1.801 1.801 1.217
```

Crystal system: tetragonal



3:
First-principles (PBE) data for a relaxed Co2Ge2Rh crystal, as listed in Alexandria via LeMat-Bulk. Values from VASP.

Geometry as Quantum ESPRESSO input:
```
&SYSTEM
  ibrav = 0, nat = 10, ntyp = 3
/
ATOMIC_SPECIES
Co 58.93 Co.upf
Ge 72.64 Ge.upf
Rh 102.91 Rh.upf
CELL_PARAMETERS angstrom
-5.366 -1.091 -4.061
-2.100 -5.008 4.120
-1.472 1.816 1.457
ATOMIC_POSITIONS angstrom
Co -3.641 -1.328 -2.023
Ge -3.062 -2.638 2.799
Co -5.996 -4.098 -0.951
Rh 0.000 0.000 0.000
Co -1.469 -2.001 1.010
Co -3.825 -4.771 2.082
Ge -6.077 -3.976 1.420
Ge -5.876 -1.645 -1.282
Rh -3.733 -3.050 0.030
Ge -2.861 -0.307 0.097
```

Crystal system: tetragonal



Order from most stable to least stable according to the calculation: 1, 3, 2



1:
First-principles (PBE) data for a relaxed Co2Ge4Ru crystal, as listed in Alexandria via LeMat-Bulk. Values from VASP.

Geometry as Quantum ESPRESSO input:
```
&SYSTEM
  ibrav = 0, nat = 28, ntyp = 3
/
ATOMIC_SPECIES
Co 58.93 Co.upf
Ge 72.64 Ge.upf
Ru 101.07 Ru.upf
CELL_PARAMETERS angstrom
-2.131 1.702 1.393
-4.027 -8.765 4.547
7.757 1.587 9.929
ATOMIC_POSITIONS angstrom
Co 0.495 -2.834 5.902
Co 1.519 1.314 5.769
Ge 5.082 -0.290 9.813
Ge -0.105 -6.113 12.355
Co 4.813 2.087 9.864
Co 5.059 -1.801 11.623
Ru 1.644 -4.246 12.750
Ge -1.685 -5.509 9.201
Ru 2.537 -0.092 9.042
Ge 4.082 -3.776 12.540
Co -3.214 -7.563 6.006
Ge -0.524 -3.160 8.107
Ge -1.502 0.611 2.005
Co 0.080 -6.791 10.101
Ru -0.044 -1.231 3.119
Ru -0.937 -5.385 6.827
Ge -3.483 -5.186 6.056
Ge 0.015 -0.500 5.683
Co 1.104 -2.643 9.967
Ge 1.705 0.636 3.514
Ge 3.101 -6.087 13.864
Ge -1.156 -3.920 4.703
Ge 1.584 -4.977 10.186
Ge -2.483 -1.701 3.329
Co -3.460 -3.675 4.246
Ge 3.284 0.032 6.668
Ge 2.755 -1.557 11.166
Ge 2.124 -2.317 7.762
```

Crystal system: orthorhombic



2:
First-principles (PBE) data for a relaxed Co2Ge4Ru crystal, as listed in Alexandria via LeMat-Bulk. Values from VASP.

Geometry as Quantum ESPRESSO input:
```
&SYSTEM
  ibrav = 0, nat = 7, ntyp = 3
/
ATOMIC_SPECIES
Co 58.93 Co.upf
Ge 72.64 Ge.upf
Ru 101.07 Ru.upf
CELL_PARAMETERS angstrom
-3.902 4.048 -1.607
-1.633 0.757 -4.768
-5.044 -0.709 -0.178
ATOMIC_POSITIONS angstrom
Co -5.289 2.048 -3.277
Ge -6.106 2.427 -5.659
Ge -5.859 -0.329 -2.562
Ge -2.769 2.402 -3.187
Ru 0.000 0.000 0.000
Co -3.338 0.024 -2.473
Ge -6.424 3.694 -1.697
```

Crystal system: tetragonal



Order from most stable to least stable according to the calculation: 1, 2



1:
First-principles (PBE) data for a relaxed CoGe2Ru crystal, as listed in Alexandria via LeMat-Bulk. Values from VASP.

Geometry as Quantum ESPRESSO input:
```
&SYSTEM
  ibrav = 0, nat = 4, ntyp = 3
/
ATOMIC_SPECIES
Co 58.93 Co.upf
Ge 72.64 Ge.upf
Ru 101.07 Ru.upf
CELL_PARAMETERS angstrom
-3.276 -1.038 -2.483
-3.883 1.444 0.901
-1.797 2.936 -2.476
ATOMIC_POSITIONS angstrom
Co 0.000 0.000 0.000
Ge -6.718 2.506 -3.043
Ru -4.479 1.671 -2.029
Ge -2.239 0.835 -1.014
```

Crystal system: cubic



2:
First-principles (PBE) data for a relaxed CoGe2Ru crystal, as listed in Alexandria via LeMat-Bulk. Values from VASP.

Geometry as Quantum ESPRESSO input:
```
&SYSTEM
  ibrav = 0, nat = 8, ntyp = 3
/
ATOMIC_SPECIES
Co 58.93 Co.upf
Ge 72.64 Ge.upf
Ru 101.07 Ru.upf
CELL_PARAMETERS angstrom
5.512 0.000 0.000
0.000 5.512 0.000
2.756 2.756 5.104
ATOMIC_POSITIONS angstrom
Co 2.756 2.756 0.000
Ge 4.134 4.227 3.828
Ru 0.000 0.000 0.000
Ge 1.471 4.134 1.276
Ge 6.890 6.797 3.828
Ge 4.041 1.378 1.276
Co 2.756 5.512 2.552
Ru 5.512 2.756 2.552
```

Crystal system: tetragonal



3:
First-principles (PBE) data for a relaxed CoGe2Ru crystal, as listed in Alexandria via LeMat-Bulk. Values from VASP.

Geometry as Quantum ESPRESSO input:
```
&SYSTEM
  ibrav = 0, nat = 4, ntyp = 3
/
ATOMIC_SPECIES
Co 58.93 Co.upf
Ru 101.07 Ru.upf
Ge 72.64 Ge.upf
CELL_PARAMETERS angstrom
3.004 0.000 0.000
0.000 4.231 0.000
0.000 0.000 4.231
ATOMIC_POSITIONS angstrom
Co 1.502 2.116 2.116
Ru 1.502 0.000 0.000
Ge 0.000 2.116 0.000
Ge 0.000 0.000 2.116
```

Crystal system: tetragonal



4:
First-principles (PBE) data for a relaxed CoGe2Ru crystal, as listed in Alexandria via LeMat-Bulk. Values from VASP.

Geometry as Quantum ESPRESSO input:
```
&SYSTEM
  ibrav = 0, nat = 4, ntyp = 3
/
ATOMIC_SPECIES
Co 58.93 Co.upf
Ru 101.07 Ru.upf
Ge 72.64 Ge.upf
CELL_PARAMETERS angstrom
-2.447 -0.930 -1.504
1.551 0.107 -2.589
1.637 -5.524 0.752
ATOMIC_POSITIONS angstrom
Co -0.448 -0.411 -2.046
Ru 0.370 -3.173 -1.671
Ge 0.388 -1.309 0.178
Ge 1.249 -4.214 0.574
```

Crystal system: tetragonal



Order from most stable to least stable according to the calculation: 4, 3, 1, 2